Compound: TeRu2Se
Source: the Alexandria database
Functional: GGA-PBE
Structure: optimized geometry

Cell and atoms, written as extended XYZ:
```
4
Lattice="1.592 0.919 7.825 -1.592 0.919 7.825 0.000 -1.838 7.825" Properties=species:S:1:pos:R:3 pbc="T T T"
Te 0.000 0.000 0.000
Ru 0.000 0.000 5.813
Ru 0.000 0.000 17.662
Se 0.000 0.000 11.738
```

Properties
E_form (uncorrected), meV per atom: 268.0



Compound: Cs4Pu3TlO12
Source: the Alexandria database
Functional: GGA-PBE
Structure: optimized geometry

Cell and atoms, written as extended XYZ:
```
20
Lattice="-4.517 4.517 4.517 4.517 -4.517 4.517 4.517 4.517 -4.517" Properties=species:S:1:pos:R:3 pbc="T T T"
Cs 2.259 2.259 -2.259
Cs 2.259 -2.259 2.259
Cs -2.259 2.259 2.259
Cs 2.259 2.259 2.259
Pu 4.517 0.000 0.000
Pu 0.000 4.517 0.000
Pu 0.000 0.000 4.517
Tl 0.000 0.000 0.000
O 2.661 0.000 0.000
O 6.374 0.000 0.000
O 4.517 2.259 0.000
O 4.517 0.000 2.259
O 0.000 2.661 0.000
O 0.000 0.000 2.661
O 2.259 4.517 0.000
O 2.259 0.000 4.517
O 0.000 6.374 0.000
O 0.000 0.000 6.374
O 0.000 4.517 2.259
O 0.000 2.259 4.517
```

Properties
E_form (uncorrected), meV per atom: -2184.2



Compound: MnV3Si
Source: the Alexandria database
Functional: GGA-PBE
Structure: optimized geometry

Cell and atoms, written as extended XYZ:
```
5
Lattice="4.261 0.000 0.000 0.000 4.261 0.000 0.000 0.000 4.261" Properties=species:S:1:pos:R:3 pbc="T T T"
Mn 0.000 0.000 0.000
V 0.000 0.000 2.130
V 0.000 2.130 0.000
V 2.130 0.000 0.000
Si 2.130 2.130 2.130
```

Properties
E_form (uncorrected), meV per atom: 681.1



Compound: GaOs2Se2
Source: the Alexandria database
Functional: GGA-PBE
Structure: optimized geometry

Cell and atoms, written as extended XYZ:
```
5
Lattice="-2.439 2.439 3.954 2.439 -2.439 3.954 2.439 2.439 -3.954" Properties=species:S:1:pos:R:3 pbc="T T T"
Ga 0.000 0.000 0.000
Os 0.000 0.000 2.724
Os 0.000 0.000 5.184
Se 2.439 0.000 1.977
Se 0.000 2.439 1.977
```

Properties
E_form (uncorrected), meV per atom: 546.5



Compound: Ba3TcPb
Source: the Alexandria database
Functional: GGA-PBE
Structure: optimized geometry

Cell and atoms, written as extended XYZ:
```
5
Lattice="5.799 0.000 0.000 0.000 5.799 0.000 0.000 0.000 5.799" Properties=species:S:1:pos:R:3 pbc="T T T"
Ba 0.000 0.000 2.899
Ba 0.000 2.899 0.000
Ba 2.899 0.000 0.000
Tc 0.000 0.000 0.000
Pb 2.899 2.899 2.899
```

Properties
Calculated formation energy, eV per atom: 0.31



Compound: YMgRe3
Source: the Alexandria database
Functional: GGA-PBE
Structure: optimized geometry

Cell and atoms, written as extended XYZ:
```
5
Lattice="4.869 0.000 0.000 0.000 4.869 0.000 0.000 0.000 4.869" Properties=species:S:1:pos:R:3 pbc="T T T"
Y 0.000 0.000 0.000
Mg 2.435 2.435 2.435
Re 0.000 0.000 2.435
Re 0.000 2.435 0.000
Re 2.435 0.000 0.000
```

Properties
Calculated formation energy, eV per atom: 2.79



no.,magnetization (μB per formula unit),calculated total energy (eV for the cell shown)
1,0.00,-24.1
2,5.00,-152.0
3,0.00,-38.5
4,0.00,-29.7
5,0.00,-18.3
6,2.54,-31.4